1.
The following is a GGA-PBE calculation of crystalline CaHo3O at its relaxed geometry, from Alexandria via LeMat-Bulk.

Cell: 4.954 4.954 4.954 Å, 90.00 90.00 90.00°
Space group Pm-3m (No. 221)
Symmetry-distinct sites (fractional):
Ca: 0.000 0.000 0.000 x1
Ho: 0.000 0.500 0.500 x3
O: 0.500 0.500 0.500 x1

Properties
raw total energy: -25.6 eV for the cell shown
uncorrected formation energy: -0.99 eV/atom


2.
The following is a GGA-PBE calculation of crystalline CaHoO at its relaxed geometry, from Alexandria via LeMat-Bulk.

Cell: 3.7597 3.7597 6.9232 Å, 90.00 90.00 120.00°
Space group P3m1 (No. 156)
Symmetry-distinct sites (fractional):
Ca: 0.0000 0.0000 0.0000 x1
Ho: 0.6667 0.3333 0.5005 x1
O: 0.3333 0.6667 0.4987 x1

Properties
raw total energy: -16.6 eV for the cell shown
uncorrected formation energy: -1.70 eV/atom


3.
The following is a GGA-PBE calculation of crystalline CaHoO2 at its relaxed geometry, from Alexandria via LeMat-Bulk.

Cell: 3.3431 3.3431 17.5953 Å, 90.00 90.00 120.00°
Space group R3m (No. 160, hexagonal axes)
Symmetry-distinct sites (fractional):
Ca: 0.0000 0.0000 0.0000 x3
Ho: 0.0000 0.0000 0.8251 x3
O: 0.0000 0.0000 0.2388 x3
O: 0.0000 0.0000 0.4157 x3

Properties
E above lowest polymorph: 0.142 eV/atom
raw total energy: -82.1 eV for the cell shown
uncorrected formation energy: -2.72 eV/atom


4.
The following is a GGA-PBE calculation of crystalline Ca2HoO3 at its relaxed geometry, from Alexandria via LeMat-Bulk.

Cell: 3.402 4.797 10.240 Å, 90.00 90.00 90.00°
Space group Immm (No. 71)
Symmetry-distinct sites (fractional):
Ca: 0.000 0.000 0.168 x4
Ho: 0.000 0.000 0.500 x2
O: 0.000 0.500 0.159 x4
O: 0.000 0.500 0.500 x2

Properties
raw total energy: -81.6 eV for the cell shown
uncorrected formation energy: -2.89 eV/atom


5.
The following is a GGA-PBE calculation of crystalline CaHoO3 at its relaxed geometry, from Alexandria via LeMat-Bulk.

Cell: 4.322 4.322 4.322 Å, 90.00 90.00 90.00°
Space group Pm-3m (No. 221)
Symmetry-distinct sites (fractional):
Ca: 0.000 0.000 0.000 x1
Ho: 0.500 0.500 0.500 x1
O: 0.000 0.500 0.500 x3

Properties
raw total energy: -33.9 eV for the cell shown
uncorrected formation energy: -2.48 eV/atom


6.
The following is a GGA-PBE calculation of crystalline CaHoOsO6 at its relaxed geometry, from Alexandria via LeMat-Bulk.

Cell: 5.5152 5.5152 9.6763 Å, 90.00 90.00 120.00°
Space group P-31c (No. 163)
Symmetry-distinct sites (fractional):
Ca: 0.0000 0.0000 0.0000 x2
Ho: 0.3333 0.6667 0.2500 x2
Os: 0.3333 0.6667 0.7500 x2
O: 0.0454 0.3819 0.6389 x12

Properties
raw total energy: -133.8 eV for the cell shown
uncorrected formation energy: -2.15 eV/atom


7.
The following is a GGA-PBE calculation of crystalline CaHo2OsO8 at its relaxed geometry, from Alexandria via LeMat-Bulk.

Cell: 5.016 6.853 5.020 Å, 90.00 90.37 90.00°
Space group P2/m (No. 10)
Symmetry-distinct sites (fractional):
Ca: 0.000 0.000 0.000 x1
Ho: 0.500 0.242 0.500 x2
Os: 0.000 0.500 0.000 x1
O: 0.184 0.305 0.817 x4
O: 0.267 0.500 0.269 x2
O: 0.311 0.000 0.312 x2

Properties
raw total energy: -90.1 eV for the cell shown
uncorrected formation energy: -2.34 eV/atom


8.
The following is a GGA-PBE calculation of crystalline Ca2HoOsO8 at its relaxed geometry, from Alexandria via LeMat-Bulk.

Cell: 4.888 6.666 5.211 Å, 90.00 90.48 90.00°
Space group P2/m (No. 10)
Symmetry-distinct sites (fractional):
Ca: 0.000 0.244 0.000 x2
Ho: 0.500 0.500 0.500 x1
Os: 0.500 0.000 0.500 x1
O: 0.273 0.500 0.133 x2
O: 0.281 0.000 0.208 x2
O: 0.283 0.208 0.638 x4

Properties
raw total energy: -83.5 eV for the cell shown
uncorrected formation energy: -2.00 eV/atom


9.
The following is a GGA-PBE calculation of crystalline CaHoPa2O8 at its relaxed geometry, from Alexandria via LeMat-Bulk.

Cell: 5.425 5.425 10.741 Å, 90.00 90.00 90.00°
Space group I-4m2 (No. 119)
Symmetry-distinct sites (fractional):
Ca: 0.000 0.000 0.000 x2
Ho: 0.000 0.500 0.750 x2
Pa: 0.000 0.000 0.500 x2
Pa: 0.000 0.500 0.250 x2
O: 0.235 0.245 0.373 x16

Properties
raw total energy: -212.1 eV for the cell shown
uncorrected formation energy: -3.40 eV/atom


10.
The following is a GGA-PBE calculation of crystalline Ca2HoPbO6 at its relaxed geometry, from Alexandria via LeMat-Bulk.

Cell: 5.818 6.047 9.992 Å, 90.00 125.00 90.00°
Space group P2_1/c (No. 14)
Symmetry-distinct sites (fractional):
Ca: 0.231 0.057 0.250 x4
Ho: 0.500 0.000 0.000 x2
Pb: 0.000 0.000 0.500 x2
O: 0.121 0.204 0.926 x4
O: 0.227 0.700 0.927 x4
O: 0.384 0.069 0.746 x4

Properties
raw total energy: -129.5 eV for the cell shown
uncorrected formation energy: -2.27 eV/atom


11.
The following is a GGA-PBE calculation of crystalline CaHoPdO4 at its relaxed geometry, from Alexandria via LeMat-Bulk.

Cell: 6.943 7.303 7.803 Å, 90.00 90.00 90.00°
Space group Imma (No. 74)
Symmetry-distinct sites (fractional):
Ca: 0.000 0.250 0.182 x4
Ho: 0.250 0.250 0.750 x4
Pd: 0.000 0.000 0.500 x4
O: 0.000 0.053 0.759 x8
O: 0.191 0.250 0.462 x8

Properties
raw total energy: -188.7 eV for the cell shown
uncorrected formation energy: -2.23 eV/atom


12.
The following is a GGA-PBE calculation of crystalline CaHo2PdO5 at its relaxed geometry, from Alexandria via LeMat-Bulk.

Cell: 6.431 6.431 5.805 Å, 90.00 90.00 90.00°
Space group P4/mbm (No. 127)
Symmetry-distinct sites (fractional):
Ca: 0.000 0.000 0.000 x2
Ho: 0.173 0.327 0.500 x4
Pd: 0.000 0.500 0.000 x2
O: 0.000 0.000 0.500 x2
O: 0.147 0.647 0.254 x8

Properties
raw total energy: -129.5 eV for the cell shown
uncorrected formation energy: -2.62 eV/atom